Record 1
# LaTbPr4Nd2 | the Alexandria database | PBE | optimized geometry
# E = -4.76 eV per atom
# ΔH_f (0 K) = 0.015 eV per atom
# V = 35.65 A^3/atom
# Magnetization = 0.00 μB per cell
data_LaTbPr4Nd2
_cell_length_a 6.373
_cell_length_b 3.705
_cell_length_c 12.274
_cell_angle_alpha 90.00
_cell_angle_beta 100.28
_cell_angle_gamma 90.00
_space_group_name_H-M_alt 'P 1 2/m 1'
_space_group_IT_number 10
_space_group_name_Hall '-P 2y'
loop_
_atom_site_label
_atom_site_fract_x
_atom_site_fract_y
_atom_site_fract_z
_atom_site_occupancy
La1 0.000 0.000 0.000 1
Tb1 0.500 0.500 0.000 1
Pr1 0.250 0.500 0.250 1
Pr2 0.251 0.000 0.751 1
Nd1 0.000 0.500 0.500 1
Nd2 0.500 0.000 0.500 1

Record 2
# La3PrNd4Te8 | the Alexandria database | PBE | optimized geometry
# E = -5.47 eV per atom
# Formation energy without anion corrections = -1.4896 eV/atom
# V = 32.98 A^3/atom
# Magnetization = 0.00 μB per cell
data_La3PrNd4Te8
_cell_length_a 9.0878
_cell_length_b 9.0878
_cell_length_c 22.1415
_cell_angle_alpha 90.00
_cell_angle_beta 90.00
_cell_angle_gamma 120.00
_space_group_name_H-M_alt 'R -3 m'
_space_group_IT_number 166
_space_group_name_Hall '-R 3 2"'
loop_
_atom_site_label
_atom_site_fract_x
_atom_site_fract_y
_atom_site_fract_z
_atom_site_occupancy
La1 0.0000 0.5000 0.0000 1
Pr1 0.0000 0.0000 0.0000 1
Nd1 0.0000 0.0000 0.5000 1
Nd2 0.0000 0.5000 0.5000 1
Te1 0.0000 0.0000 0.2484 1
Te2 0.0009 0.5004 0.7513 1

| no. | theoretical density (kg/m³) |
| --- | --- |
| 1 | 6696 |
| 2 | 6782 |